Record 1
VASP calculation (GGA-PBE) on an optimized crystal structure of PmPbAu2.

Cell and atoms, written as CIF:
```
data_PmPbAu2
_cell_length_a 5.125
_cell_length_b 5.125
_cell_length_c 5.125
_cell_angle_alpha 60.00
_cell_angle_beta 60.00
_cell_angle_gamma 60.00
_symmetry_space_group_name_H-M 'P 1'
_symmetry_Int_Tables_number 1
_symmetry_space_group_name_Hall 'P 1'
loop_
_atom_site_label
_atom_site_fract_x
_atom_site_fract_y
_atom_site_fract_z
_atom_site_occupancy
Pb1 0.000 0.000 0.000 1
Pm1 0.500 0.500 0.500 1
Au1 0.250 0.250 0.250 1
Au2 0.750 0.750 0.750 1
```

Output
Formation enthalpy at 0 K ... -601 meV per atom
Magnetic moment ... 0.00 μB per cell
Excess energy over the best structure of this formula in the dataset ... 0 meV per atom
Final energy ... -4.355 eV per atom
Calculated density ... 13.02 g/cm3

=====

Record 2
VASP calculation (GGA-PBE) on an optimized crystal structure of La4Cd5Ge6.

Cell and atoms, written as CIF:
```
data_La4Cd5Ge6
_cell_length_a 4.534
_cell_length_b 10.380
_cell_length_c 16.314
_cell_angle_alpha 90.00
_cell_angle_beta 90.00
_cell_angle_gamma 102.62
_symmetry_space_group_name_H-M 'P 1'
_symmetry_Int_Tables_number 1
_symmetry_space_group_name_Hall 'P 1'
loop_
_atom_site_label
_atom_site_fract_x
_atom_site_fract_y
_atom_site_fract_z
_atom_site_occupancy
Cd1 0.342 0.683 0.275 1
Cd2 0.438 0.877 0.681 1
Cd3 0.155 0.309 0.626 1
Cd4 0.845 0.691 0.126 1
Cd5 0.649 0.298 0.479 1
Cd6 0.351 0.702 0.979 1
Cd7 0.562 0.123 0.181 1
Cd8 0.658 0.317 0.775 1
Cd9 0.300 0.601 0.622 1
Cd10 0.700 0.399 0.122 1
La1 0.836 0.671 0.802 1
La2 0.035 0.069 0.766 1
La3 0.824 0.648 0.446 1
La4 0.016 0.032 0.503 1
La5 0.176 0.352 0.946 1
La6 0.984 0.968 0.003 1
La7 0.965 0.931 0.266 1
La8 0.164 0.329 0.302 1
Ge1 0.447 0.893 0.855 1
Ge2 0.566 0.133 0.908 1
Ge3 0.553 0.107 0.355 1
Ge4 0.112 0.223 0.114 1
Ge5 0.775 0.550 0.978 1
Ge6 0.431 0.861 0.130 1
Ge7 0.888 0.777 0.614 1
Ge8 0.434 0.867 0.408 1
Ge9 0.767 0.534 0.270 1
Ge10 0.225 0.450 0.478 1
Ge11 0.233 0.466 0.770 1
Ge12 0.569 0.139 0.630 1
```

Output
Formation enthalpy at 0 K ... -554 meV per atom
Magnetic moment ... 0.00 μB per cell
Final energy ... -4.020 eV per atom
Calculated density ... 6.89 g/cm3